i | Below is Zn2Pd5Au after structural relaxation, with properties calculated at the PBE level.

Computed properties:
D(E_F), states/eV/cell: 9.181

```
Zn2Pd5Au
1.0
-2.848 2.848 3.786
2.848 -2.848 3.786
2.848 2.848 -3.786
Zn Pd Au
2 5 1
direct
0.000 0.500 0.500 Zn
0.500 0.000 0.500 Zn
0.000 0.000 0.000 Pd
0.000 0.000 0.500 Pd
0.000 0.500 0.000 Pd
0.500 0.000 0.000 Pd
0.500 0.500 0.500 Pd
0.500 0.500 0.000 Au
```

***

ii | Below is Zn2Pd5Au after structural relaxation, with properties calculated at the PBE level.

Computed properties:
D(E_F), states/eV/cell: 16.324

```
Zn2Pd5Au
1.0
5.543 0.000 0.000
0.000 11.101 0.000
0.000 0.000 3.985
Zn Pd Au
4 10 2
direct
0.235 0.129 0.000 Zn
0.265 0.629 0.000 Zn
0.735 0.371 0.000 Zn
0.765 0.871 0.000 Zn
0.000 0.000 0.500 Pd
0.013 0.749 0.500 Pd
0.244 0.374 0.000 Pd
0.256 0.874 0.000 Pd
0.487 0.249 0.500 Pd
0.500 0.500 0.500 Pd
0.513 0.751 0.500 Pd
0.744 0.126 0.000 Pd
0.756 0.626 0.000 Pd
0.987 0.251 0.500 Pd
0.000 0.500 0.500 Au
0.500 0.000 0.500 Au
```

***

ii ends up most stable, edging out the next structure by 0.6 kJ/mol of atoms.

***

i | Below is Zn5Pd2Au5 after structural relaxation, with properties calculated at the PBE level.

Computed properties:
D(E_F), states/eV/cell: 3.055

```
Zn5Pd2Au5
1.0
3.727 -2.280 0.000
3.727 2.280 0.000
-2.032 0.000 11.710
Zn Pd Au
5 2 5
direct
0.000 0.000 0.000 Zn
0.134 0.134 0.432 Zn
0.365 0.365 0.194 Zn
0.635 0.635 0.806 Zn
0.866 0.866 0.568 Zn
0.029 0.029 0.215 Pd
0.971 0.971 0.785 Pd
0.267 0.267 0.667 Au
0.329 0.329 0.921 Au
0.500 0.500 0.500 Au
0.671 0.671 0.079 Au
0.733 0.733 0.333 Au
```

***

ii | Below is Zn5Pd2Au5 after structural relaxation, with properties calculated at the PBE level.

Computed properties:
D(E_F), states/eV/cell: 3.472

```
Zn5Pd2Au5
1.0
6.328 -1.995 0.000
6.328 1.995 0.000
-4.577 0.000 7.707
Zn Pd Au
5 2 5
direct
0.000 0.000 0.000 Zn
0.077 0.077 0.744 Zn
0.243 0.243 0.274 Zn
0.757 0.757 0.726 Zn
0.923 0.923 0.256 Zn
0.166 0.166 0.512 Pd
0.834 0.834 0.488 Pd
0.317 0.317 0.966 Au
0.429 0.429 0.758 Au
0.500 0.500 0.500 Au
0.571 0.571 0.242 Au
0.683 0.683 0.034 Au
```

***

ii ends up most stable, edging out the next structure by 2.3 kJ/mol of atoms.

***

i | Below is ZnPd2Au3 after structural relaxation, with properties calculated at the PBE level.

Computed properties:
D(E_F), states/eV/cell: 4.355

```
ZnPd2Au3
1.0
4.952 0.000 0.000
-1.833 6.269 0.000
-0.100 -2.879 6.384
Zn Pd Au
2 4 6
direct
0.130 0.117 0.357 Zn
0.870 0.883 0.643 Zn
0.207 0.878 0.962 Pd
0.427 0.117 0.696 Pd
0.573 0.883 0.304 Pd
0.793 0.122 0.038 Pd
0.027 0.360 0.780 Au
0.299 0.632 0.546 Au
0.375 0.370 0.120 Au
0.625 0.630 0.880 Au
0.701 0.368 0.454 Au
0.973 0.640 0.220 Au
```

***

ii | Below is ZnPd2Au3 after structural relaxation, with properties calculated at the PBE level.

Computed properties:
D(E_F), states/eV/cell: 3.939

```
ZnPd2Au3
1.0
2.497 -4.332 0.000
2.497 4.332 0.000
-1.715 0.000 9.160
Zn Pd Au
2 4 6
direct
0.167 0.833 0.000 Zn
0.833 0.167 0.000 Zn
0.000 0.000 0.500 Pd
0.334 0.666 0.500 Pd
0.500 0.500 0.000 Pd
0.666 0.334 0.500 Pd
0.081 0.418 0.754 Au
0.244 0.244 0.245 Au
0.418 0.081 0.754 Au
0.582 0.919 0.246 Au
0.756 0.756 0.755 Au
0.919 0.582 0.246 Au
```

***

i ends up most stable, edging out the next structure by 4.6 kJ/mol of atoms.

***

i | Below is ZnPd4Au2 after structural relaxation, with properties calculated at the PBE level.

Computed properties:
D(E_F), states/eV/cell: 8.953

```
ZnPd4Au2
1.0
5.540 0.000 0.000
2.752 6.618 0.000
2.749 0.811 6.583
Zn Pd Au
2 8 4
direct
0.000 0.000 0.000 Zn
0.485 0.014 0.014 Zn
0.019 0.225 0.226 Pd
0.473 0.782 0.783 Pd
0.531 0.227 0.225 Pd
0.606 0.153 0.637 Pd
0.606 0.636 0.152 Pd
0.873 0.867 0.384 Pd
0.878 0.383 0.865 Pd
0.958 0.783 0.783 Pd
0.161 0.578 0.101 Au
0.164 0.100 0.576 Au
0.245 0.510 0.508 Au
0.742 0.508 0.508 Au
```

***

ii | Below is ZnPd4Au2 after structural relaxation, with properties calculated at the PBE level.

Computed properties:
D(E_F), states/eV/cell: 6.841

```
ZnPd4Au2
1.0
-3.898 3.898 3.940
3.898 -3.898 3.940
3.898 3.898 -3.940
Zn Pd Au
2 8 4
direct
0.000 0.000 0.000 Zn
0.750 0.250 0.500 Zn
0.106 0.204 0.743 Pd
0.112 0.711 0.757 Pd
0.289 0.046 0.401 Pd
0.461 0.362 0.257 Pd
0.638 0.894 0.099 Pd
0.644 0.888 0.599 Pd
0.796 0.539 0.901 Pd
0.954 0.356 0.243 Pd
0.259 0.625 0.134 Au
0.375 0.509 0.634 Au
0.491 0.125 0.866 Au
0.875 0.741 0.366 Au
```

***

i ends up most stable, edging out the next structure by 1.0 kJ/mol of atoms.